Version 1
The following is a DFT calculation (PBE-GGA) of a relaxed structure of Tm3Cu2Pt.

Values from the calculation:
Magnetic moment in μB per formula unit: 0.00
DOS at the Fermi energy in states/eV per cell: 2.287

a b c (Å): 3.420 3.420 10.384
angles (deg): 90.00 90.00 90.00
Element x y z (fractional)
Tm  0.000  0.000  0.000
Tm  0.000  0.000  0.666
Tm  0.000  0.000  0.334
Cu  0.500  0.500  0.836
Cu  0.500  0.500  0.164
Pt  0.500  0.500  0.500

***

Version 2
The following is a DFT calculation (PBE-GGA) of a relaxed structure of Tm3Cu2Pt.

Values from the calculation:
Magnetic moment in μB per formula unit: 0.00
DOS at the Fermi energy in states/eV per cell: 6.110

a b c (Å): 4.844 4.844 11.899
angles (deg): 90.00 90.00 120.00
Element x y z (fractional)
Tm  0.333  0.667  0.416
Tm  0.667  0.333  0.085
Tm  0.000  0.000  0.750
Tm  0.000  0.000  0.250
Tm  0.333  0.667  0.915
Tm  0.667  0.333  0.584
Cu  0.000  0.000  0.500
Cu  0.333  0.667  0.159
Cu  0.667  0.333  0.841
Cu  0.000  0.000  0.000
Pt  0.333  0.667  0.664
Pt  0.667  0.333  0.336

***

It turns out version 2 is the most stable, with the second structure 1.6 kJ/mol of atoms higher.

***

Version 1
The following is a DFT calculation (PBE-GGA) of a relaxed structure of Tm8Cu2Pt.

Values from the calculation:
Magnetic moment in μB per formula unit: 0.00
DOS at the Fermi energy in states/eV per cell: 9.610

a b c (Å): 5.000 6.597 8.927
angles (deg): 105.06 106.26 90.00
Element x y z (fractional)
Tm  0.409  0.555  0.818
Tm  0.668  0.978  0.335
Tm  0.797  0.670  0.594
Tm  0.967  0.215  0.934
Tm  0.203  0.330  0.406
Tm  0.332  0.022  0.665
Tm  0.591  0.445  0.182
Tm  0.033  0.785  0.066
Cu  0.814  0.273  0.628
Cu  0.186  0.727  0.372
Pt  0.500  0.000  0.000

***

Version 2
The following is a DFT calculation (PBE-GGA) of a relaxed structure of Tm8Cu2Pt.

Values from the calculation:
Magnetic moment in μB per formula unit: 0.00
DOS at the Fermi energy in states/eV per cell: 14.355

a b c (Å): 5.752 7.671 7.671
angles (deg): 115.26 100.80 100.80
Element x y z (fractional)
Tm  0.589  0.344  0.091
Tm  0.589  0.091  0.344
Tm  0.178  0.369  0.369
Tm  0.986  0.210  0.796
Tm  0.986  0.796  0.210
Tm  0.799  0.637  0.637
Tm  0.368  0.912  0.659
Tm  0.368  0.659  0.912
Cu  0.493  0.702  0.310
Cu  0.493  0.310  0.702
Pt  0.151  0.004  0.004

***

It turns out version 1 is the most stable, with the second structure 11.3 kJ/mol of atoms higher.

***

Version 1
The following is a DFT calculation (PBE-GGA) of a relaxed structure of UCuPt4.

Values from the calculation:
Magnetic moment in μB per formula unit: 1.25
DOS at the Fermi energy in states/eV per cell: 13.126

a b c (Å): 4.532 8.247 6.936
angles (deg): 90.00 90.00 123.33
Each line ends with the local moment (μB).
Element x y z (fractional)
U  0.000  0.250  0.681  1.27
U  0.000  0.750  0.319  1.27
Cu  0.500  0.250  0.404  0.02
Cu  0.500  0.750  0.596  0.02
Pt  0.295  0.545  0.915  -0.04
Pt  0.213  0.963  0.667  -0.03
Pt  0.705  0.955  0.915  -0.04
Pt  0.787  0.037  0.333  -0.03
Pt  0.787  0.537  0.667  -0.03
Pt  0.295  0.045  0.085  -0.04
Pt  0.213  0.463  0.333  -0.03
Pt  0.705  0.455  0.085  -0.04

***

Version 2
The following is a DFT calculation (PBE-GGA) of a relaxed structure of UCuPt4.

Values from the calculation:
Magnetic moment in μB per formula unit: 1.32
DOS at the Fermi energy in states/eV per cell: 6.316

a b c (Å): 5.307 5.307 5.307
angles (deg): 60.00 60.00 60.00
Each line ends with the local moment (μB).
Element x y z (fractional)
U  0.250  0.250  0.250  1.65
Cu  0.000  0.000  0.000  -0.01
Pt  0.626  0.626  0.123  -0.11
Pt  0.626  0.123  0.626  -0.11
Pt  0.626  0.626  0.626  -0.11
Pt  0.123  0.626  0.626  -0.11

***

It turns out version 2 is the most stable, with the second structure 12.0 kJ/mol of atoms higher.

***

Version 1
The following is a DFT calculation (PBE-GGA) of a relaxed structure of UCuPt6.

Values from the calculation:
Magnetic moment in μB per formula unit: 0.00
DOS at the Fermi energy in states/eV per cell: 7.784

a b c (Å): 4.653 5.716 5.716
angles (deg): 119.99 90.00 90.00
Element x y z (fractional)
U  0.000  0.083  0.917
Cu  0.500  0.416  0.584
Pt  0.000  0.086  0.418
Pt  0.000  0.582  0.914
Pt  0.000  0.582  0.418
Pt  0.500  0.420  0.085
Pt  0.500  0.915  0.580
Pt  0.500  0.915  0.085

***

Version 2
The following is a DFT calculation (PBE-GGA) of a relaxed structure of UCuPt6.

Values from the calculation:
Magnetic moment in μB per formula unit: 0.00
DOS at the Fermi energy in states/eV per cell: 7.510

a b c (Å): 4.059 5.684 5.684
angles (deg): 90.01 90.00 90.00
Element x y z (fractional)
U  0.500  0.000  0.000
Cu  0.500  0.500  0.500
Pt  0.000  0.749  0.251
Pt  0.000  0.251  0.749
Pt  0.000  0.749  0.749
Pt  0.000  0.251  0.251
Pt  0.500  0.500  0.000
Pt  0.500  0.000  0.500

***

It turns out version 2 is the most stable, with the second structure 7.0 kJ/mol of atoms higher.

***

Version 1
The following is a DFT calculation (PBE-GGA) of a relaxed structure of VCu2Pt2.

Values from the calculation:
Magnetic moment in μB per formula unit: 0.00
DOS at the Fermi energy in states/eV per cell: 1.593

a b c (Å): 3.761 4.620 4.725
angles (deg): 78.68 66.55 65.98
Element x y z (fractional)
V  0.000  0.000  0.000
Cu  0.198  0.194  0.410
Cu  0.802  0.806  0.590
Pt  0.594  0.618  0.194
Pt  0.406  0.382  0.806

***

Version 2
The following is a DFT calculation (PBE-GGA) of a relaxed structure of VCu2Pt2.

Values from the calculation:
Magnetic moment in μB per formula unit: 0.00
DOS at the Fermi energy in states/eV per cell: 2.881

a b c (Å): 2.729 2.745 9.606
angles (deg): 81.78 90.00 90.00
Element x y z (fractional)
V  0.000  0.000  0.000
Cu  0.000  0.196  0.607
Cu  0.000  0.804  0.393
Pt  0.500  0.404  0.192
Pt  0.500  0.596  0.808

***

It turns out version 1 is the most stable, with the second structure 3.9 kJ/mol of atoms higher.

***

Version 1
The following is a DFT calculation (PBE-GGA) of a relaxed structure of VCu2Pt2.

Values from the calculation:
Magnetic moment in μB per formula unit: 1.78
DOS at the Fermi energy in states/eV per cell: 8.676

a b c (Å): 7.107 7.107 2.844
angles (deg): 90.00 90.00 90.00
Each line ends with the local moment (μB).
Element x y z (fractional)
Pt  0.179  0.679  0.500  0.03
Pt  0.679  0.821  0.500  0.03
Pt  0.821  0.321  0.500  0.03
Pt  0.321  0.179  0.500  0.03
Cu  0.380  0.880  0.000  0.02
Cu  0.880  0.620  0.000  0.02
Cu  0.620  0.120  0.000  0.02
Cu  0.120  0.380  0.000  0.02
V  0.000  0.000  0.000  1.48
V  0.500  0.500  0.000  1.48

***

Version 2
The following is a DFT calculation (PBE-GGA) of a relaxed structure of VCu2Pt2.

Values from the calculation:
Magnetic moment in μB per formula unit: 1.67
DOS at the Fermi energy in states/eV per cell: 9.602

a b c (Å): 7.159 7.159 2.864
angles (deg): 90.00 90.00 90.00
Each line ends with the local moment (μB).
Element x y z (fractional)
Pt  0.359  0.859  0.000  0.02
Pt  0.859  0.641  0.000  0.02
Pt  0.641  0.141  0.000  0.02
Pt  0.141  0.359  0.000  0.02
Cu  0.158  0.658  0.500  0.00
Cu  0.658  0.842  0.500  0.00
Cu  0.842  0.342  0.500  0.00
Cu  0.342  0.158  0.500  0.00
V  0.000  0.000  0.000  1.43
V  0.500  0.500  0.000  1.43

***

It turns out version 1 is the most stable, with the second structure 5.2 kJ/mol of atoms higher.

***

Version 1
The following is a DFT calculation (PBE-GGA) of a relaxed structure of VCuPt3.

Values from the calculation:
Magnetic moment in μB per formula unit: 1.09
DOS at the Fermi energy in states/eV per cell: 16.666

a b c (Å): 6.254 6.913 7.093
angles (deg): 90.00 90.00 90.00
Each line ends with the local moment (μB).
Element x y z (fractional)
V  0.000  0.500  0.000  0.99
V  0.500  0.000  0.500  0.99
V  0.500  0.000  0.000  0.99
V  0.000  0.500  0.500  0.99
Cu  0.300  0.561  0.750  0.01
Cu  0.200  0.061  0.250  0.01
Cu  0.700  0.439  0.250  0.01
Cu  0.800  0.939  0.750  0.01
Pt  0.860  0.153  0.060  -0.01
Pt  0.640  0.653  0.560  -0.01
Pt  0.640  0.653  0.940  -0.01
Pt  0.140  0.847  0.560  -0.01
Pt  0.140  0.847  0.940  -0.01
Pt  0.360  0.347  0.440  -0.01
Pt  0.360  0.347  0.060  -0.01
Pt  0.860  0.153  0.440  -0.01
Pt  0.116  0.224  0.750  0.02
Pt  0.384  0.724  0.250  0.02
Pt  0.884  0.776  0.250  0.02
Pt  0.616  0.276  0.750  0.02

***

Version 2
The following is a DFT calculation (PBE-GGA) of a relaxed structure of VCuPt3.

Values from the calculation:
Magnetic moment in μB per formula unit: 0.00
DOS at the Fermi energy in states/eV per cell: 3.975

a b c (Å): 4.613 4.613 4.613
angles (deg): 90.00 90.00 90.00
Element x y z (fractional)
Pt  0.000  0.500  0.000
Pt  0.000  0.000  0.500
Pt  0.500  0.000  0.000
Cu  0.500  0.500  0.500
V  0.000  0.000  0.000

***

Version 3
The following is a DFT calculation (PBE-GGA) of a relaxed structure of VCuPt3.

Values from the calculation:
Magnetic moment in μB per formula unit: 0.74
DOS at the Fermi energy in states/eV per cell: 9.437

a b c (Å): 4.141 5.405 7.134
angles (deg): 90.00 90.00 90.00
Each line ends with the local moment (μB).
Element x y z (fractional)
V  0.500  0.000  0.151  0.77
V  0.000  0.500  0.849  0.77
Cu  0.000  0.000  0.566  -0.01
Cu  0.500  0.500  0.434  -0.01
Pt  0.000  0.749  0.264  -0.04
Pt  0.500  0.751  0.736  -0.04
Pt  0.500  0.249  0.736  -0.04
Pt  0.000  0.251  0.264  -0.04
Pt  0.000  0.000  0.927  -0.04
Pt  0.500  0.500  0.073  -0.04

***

It turns out version 1 is the most stable, with the second structure 1.9 kJ/mol of atoms higher.

***

Version 1
The following is a DFT calculation (PBE-GGA) of a relaxed structure of CuPtW.

Values from the calculation:
Magnetic moment in μB per formula unit: 0.00
DOS at the Fermi energy in states/eV per cell: 2.008

a b c (Å): 4.697 4.697 4.697
angles (deg): 145.96 130.57 61.37
Element x y z (fractional)
Cu  0.001  0.001  0.000
Pt  0.333  0.333  0.000
W  0.666  0.666  0.000

***

Version 2
The following is a DFT calculation (PBE-GGA) of a relaxed structure of CuPtW.

Values from the calculation:
Magnetic moment in μB per formula unit: 0.00
DOS at the Fermi energy in states/eV per cell: 3.454

a b c (Å): 2.787 2.787 11.295
angles (deg): 90.00 90.00 90.00
Element x y z (fractional)
Cu  0.000  0.500  0.570
Cu  0.500  0.000  0.430
Pt  0.000  0.500  0.265
Pt  0.500  0.000  0.735
W  0.500  0.000  0.096
W  0.000  0.500  0.904

***

It turns out version 2 is the most stable, with the second structure 12.0 kJ/mol of atoms higher.

***

Version 1
The following is a DFT calculation (PBE-GGA) of a relaxed structure of CuPtW2.

Values from the calculation:
Magnetic moment in μB per formula unit: 0.00
DOS at the Fermi energy in states/eV per cell: 5.420

a b c (Å): 4.420 4.420 4.420
angles (deg): 60.00 60.00 60.00
Element x y z (fractional)
Cu  0.000  0.000  0.000
W  0.250  0.250  0.250
W  0.750  0.750  0.750
Pt  0.500  0.500  0.500

***

Version 2
The following is a DFT calculation (PBE-GGA) of a relaxed structure of CuPtW2.

Values from the calculation:
Magnetic moment in μB per formula unit: 0.00
DOS at the Fermi energy in states/eV per cell: 2.668

a b c (Å): 5.998 4.943 2.694
angles (deg): 90.04 63.24 118.95
Element x y z (fractional)
Cu  0.000  0.500  0.500
Pt  0.500  0.500  0.000
W  0.000  0.000  0.000
W  0.500  0.000  0.500

***

It turns out version 2 is the most stable, with the second structure 38.3 kJ/mol of atoms higher.

***

Version 1
The following is a DFT calculation (PBE-GGA) of a relaxed structure of CuPtW2.

Values from the calculation:
Magnetic moment in μB per formula unit: 0.00
DOS at the Fermi energy in states/eV per cell: 3.843

a b c (Å): 3.769 3.825 4.150
angles (deg): 90.00 90.00 90.00
Element x y z (fractional)
Cu  0.500  0.000  0.500
Pt  0.000  0.500  0.500
W  0.000  0.000  0.000
W  0.500  0.500  0.000

***

Version 2
The following is a DFT calculation (PBE-GGA) of a relaxed structure of CuPtW2.

Values from the calculation:
Magnetic moment in μB per formula unit: 0.00
DOS at the Fermi energy in states/eV per cell: 3.451

a b c (Å): 4.420 4.420 4.420
angles (deg): 60.00 60.00 60.00
Element x y z (fractional)
Cu  0.500  0.500  0.500
Pt  0.250  0.250  0.250
W  0.000  0.000  0.000
W  0.750  0.750  0.750

***

It turns out version 1 is the most stable, with the second structure 13.2 kJ/mol of atoms higher.

***

Version 1
The following is a DFT calculation (PBE-GGA) of a relaxed structure of CuPtW2.

Values from the calculation:
Magnetic moment in μB per formula unit: 0.00
DOS at the Fermi energy in states/eV per cell: 5.603

a b c (Å): 7.084 7.084 5.644
angles (deg): 51.13 51.13 90.00
Element x y z (fractional)
Cu  0.500  0.500  0.000
Cu  0.250  0.750  0.500
W  0.625  0.125  0.250
W  0.125  0.625  0.250
W  0.375  0.375  0.750
W  0.875  0.875  0.750
Pt  0.000  0.000  0.000
Pt  0.750  0.250  0.500

***

Version 2
The following is a DFT calculation (PBE-GGA) of a relaxed structure of CuPtW2.

Values from the calculation:
Magnetic moment in μB per formula unit: 0.00
DOS at the Fermi energy in states/eV per cell: 4.045

a b c (Å): 9.242 9.242 9.242
angles (deg): 17.33 17.33 17.33
Element x y z (fractional)
Cu  0.499  0.499  0.499
Pt  0.752  0.752  0.752
W  0.002  0.002  0.002
W  0.246  0.246  0.246

***

Version 3
The following is a DFT calculation (PBE-GGA) of a relaxed structure of CuPtW2.

Values from the calculation:
Magnetic moment in μB per formula unit: 0.00
DOS at the Fermi energy in states/eV per cell: 5.065

a b c (Å): 3.348 3.348 5.442
angles (deg): 90.00 90.00 90.00
Element x y z (fractional)
Cu  0.500  0.500  0.250
Pt  0.500  0.500  0.750
W  0.000  0.000  0.020
W  0.000  0.000  0.480

***

Version 4
The following is a DFT calculation (PBE-GGA) of a relaxed structure of CuPtW2.

Values from the calculation:
Magnetic moment in μB per formula unit: 0.00
DOS at the Fermi energy in states/eV per cell: 3.420

a b c (Å): 4.930 4.930 4.556
angles (deg): 78.90 78.90 34.02
Element x y z (fractional)
Cu  0.750  0.750  0.750
Pt  0.250  0.250  0.250
W  0.998  0.998  0.000
W  0.502  0.502  0.500

***

It turns out version 4 is the most stable, with the second structure 1.8 kJ/mol of atoms higher.